Density functional theory data (GGA-PBE) for a relaxed Tl2Sn2F7 crystal.

Calculated values
- Raw formation energy: -2075 meV per atom
- Space group: C2/m, No. 12
- Fermi-level density of states: 3.77 states/eV/f.u.

a = 5.902 Å, b = 5.902 Å, c = 6.257 Å
α = 93.03°, β = 93.03°, γ = 86.41°
Fractional positions:
Tl1 0.234 0.766 0.000
Tl2 0.766 0.234 0.000
Sn1 0.268 0.268 0.513
Sn2 0.732 0.732 0.487
F1 0.000 0.000 0.500
F2 0.037 0.443 0.724
F3 0.443 0.037 0.724
F4 0.495 0.495 0.709
F5 0.505 0.505 0.291
F6 0.557 0.963 0.276
F7 0.963 0.557 0.276

=====

Density functional theory data (GGA-PBE) for a relaxed Tl2SnF5 crystal.

Calculated values
- Raw formation energy: -2011 meV per atom
- Space group: P1, No. 1
- Fermi-level density of states: 0.06 states/eV/f.u.

a = 6.078 Å, b = 6.303 Å, c = 6.346 Å
α = 96.27°, β = 116.03°, γ = 114.75°
Fractional positions:
Tl1 0.000 0.000 0.000
Tl2 0.041 0.554 0.518
Sn1 0.512 0.277 0.772
F1 0.098 0.012 0.465
F2 0.522 0.007 0.938
F3 0.533 0.546 0.601
F4 0.673 0.165 0.599
F5 0.936 0.546 0.060

=====

Density functional theory data (GGA-PBE) for a relaxed Tl3Sn5F12 crystal.

Calculated values
- Raw formation energy: -1914 meV per atom
- Space group: Ia-3d, No. 230
- Fermi-level density of states: 4.51 states/eV/f.u.

a = 13.220 Å, b = 13.220 Å, c = 13.220 Å
α = 109.47°, β = 109.47°, γ = 109.47°
Fractional positions:
Tl1 0.125 0.250 0.375
Tl2 0.125 0.375 0.750
Tl3 0.250 0.375 0.125
Tl4 0.250 0.875 0.625
Tl5 0.375 0.125 0.250
Tl6 0.375 0.750 0.125
Tl7 0.625 0.250 0.875
Tl8 0.625 0.875 0.750
Tl9 0.750 0.125 0.375
Tl10 0.750 0.625 0.875
Tl11 0.875 0.625 0.250
Tl12 0.875 0.750 0.625
Sn1 0.000 0.000 0.000
Sn2 0.000 0.000 0.500
Sn3 0.000 0.500 0.000
Sn4 0.000 0.500 0.500
Sn5 0.125 0.750 0.875
Sn6 0.125 0.875 0.250
Sn7 0.250 0.125 0.875
Sn8 0.250 0.625 0.375
Sn9 0.375 0.250 0.625
Sn10 0.375 0.625 0.750
Sn11 0.500 0.000 0.000
Sn12 0.500 0.000 0.500
Sn13 0.500 0.500 0.000
Sn14 0.500 0.500 0.500
Sn15 0.625 0.375 0.250
Sn16 0.625 0.750 0.375
Sn17 0.750 0.375 0.625
Sn18 0.750 0.875 0.125
Sn19 0.875 0.125 0.750
Sn20 0.875 0.250 0.125
F1 0.020 0.201 0.098
F2 0.020 0.319 0.921
F3 0.079 0.598 0.397
F4 0.079 0.980 0.681
F5 0.098 0.020 0.201
F6 0.098 0.579 0.897
F7 0.103 0.701 0.681
F8 0.103 0.902 0.421
F9 0.181 0.201 0.603
F10 0.181 0.480 0.579
F11 0.201 0.098 0.020
F12 0.201 0.603 0.181
F13 0.299 0.319 0.897
F14 0.299 0.480 0.402
F15 0.319 0.897 0.299
F16 0.319 0.921 0.020
F17 0.397 0.079 0.598
F18 0.397 0.819 0.799
F19 0.402 0.299 0.480
F20 0.402 0.603 0.921
F21 0.421 0.103 0.902
F22 0.421 0.819 0.520
F23 0.480 0.402 0.299
F24 0.480 0.579 0.181
F25 0.520 0.421 0.819
F26 0.520 0.598 0.701
F27 0.579 0.181 0.480
F28 0.579 0.897 0.098
F29 0.598 0.397 0.079
F30 0.598 0.701 0.520
F31 0.603 0.181 0.201
F32 0.603 0.921 0.402
F33 0.681 0.079 0.980
F34 0.681 0.103 0.701
F35 0.701 0.520 0.598
F36 0.701 0.681 0.103
F37 0.799 0.397 0.819
F38 0.799 0.902 0.980
F39 0.819 0.520 0.421
F40 0.819 0.799 0.397
F41 0.897 0.098 0.579
F42 0.897 0.299 0.319
F43 0.902 0.421 0.103
F44 0.902 0.980 0.799
F45 0.921 0.020 0.319
F46 0.921 0.402 0.603
F47 0.980 0.681 0.079
F48 0.980 0.799 0.902

=====

Density functional theory data (GGA-PBE) for a relaxed Tl2SnF4 crystal.

Calculated values
- Raw formation energy: -1981 meV per atom
- Space group: P2_1/m, No. 11
- Excess energy over the best structure of this formula in the dataset: 0.000 eV/atom
- Fermi-level density of states: 0.00 states/eV/f.u.

a = 6.670 Å, b = 6.422 Å, c = 8.143 Å
α = 90.00°, β = 113.41°, γ = 90.00°
Fractional positions:
Tl1 0.082 0.250 0.159
Tl2 0.230 0.750 0.474
Tl3 0.770 0.250 0.526
Tl4 0.918 0.750 0.841
Sn1 0.396 0.250 0.833
Sn2 0.604 0.750 0.167
F1 0.144 0.011 0.738
F2 0.144 0.489 0.738
F3 0.238 0.750 0.145
F4 0.357 0.250 0.567
F5 0.643 0.750 0.433
F6 0.762 0.250 0.855
F7 0.856 0.511 0.262
F8 0.856 0.989 0.262

=====

Density functional theory data (GGA-PBE) for a relaxed TlSnF crystal.

Calculated values
- Raw formation energy: -956 meV per atom
- Space group: C2/m, No. 12
- Excess energy over the best structure of this formula in the dataset: 0.000 eV/atom
- Fermi-level density of states: 0.86 states/eV/f.u.

a = 5.540 Å, b = 5.540 Å, c = 5.529 Å
α = 97.45°, β = 97.45°, γ = 68.35°
Fractional positions:
Tl1 0.134 0.134 0.285
Tl2 0.866 0.866 0.715
Sn1 0.417 0.417 0.740
Sn2 0.583 0.583 0.260
F1 0.197 0.197 0.844
F2 0.803 0.803 0.156

=====

Density functional theory data (GGA-PBE) for a relaxed Tl4SnF2 crystal.

Calculated values
- Raw formation energy: -601 meV per atom
- Space group: I4/mmm, No. 139
- Fermi-level density of states: 4.78 states/eV/f.u.

a = 8.586 Å, b = 8.586 Å, c = 8.586 Å
α = 140.75°, β = 140.75°, γ = 56.71°
Fractional positions:
Tl1 0.000 0.500 0.500
Tl2 0.245 0.245 0.000
Tl3 0.500 0.000 0.500
Tl4 0.755 0.755 0.000
Sn1 0.500 0.500 0.000
F1 0.093 0.093 0.000
F2 0.907 0.907 0.000

=====

Density functional theory data (GGA-PBE) for a relaxed Tl2SnF6 crystal.

Calculated values
- Raw formation energy: -2273 meV per atom
- Space group: P2_1/c, No. 14
- Fermi-level density of states: 0.00 states/eV/f.u.

a = 6.657 Å, b = 8.099 Å, c = 7.651 Å
α = 90.00°, β = 115.77°, γ = 90.00°
Fractional positions:
Tl1 0.167 0.010 0.322
Tl2 0.167 0.490 0.822
Tl3 0.833 0.510 0.178
Tl4 0.833 0.990 0.678
Sn1 0.500 0.000 0.000
Sn2 0.500 0.500 0.500
F1 0.249 0.160 0.946
F2 0.249 0.340 0.446
F3 0.271 0.680 0.431
F4 0.271 0.820 0.931
F5 0.450 0.012 0.721
F6 0.450 0.488 0.221
F7 0.550 0.512 0.779
F8 0.550 0.988 0.279
F9 0.729 0.180 0.069
F10 0.729 0.320 0.569
F11 0.751 0.660 0.554
F12 0.751 0.840 0.054

=====

Density functional theory data (GGA-PBE) for a relaxed Tl2Sn2F crystal.

Calculated values
- Raw formation energy: -412 meV per atom
- Space group: I4/mmm, No. 139
- Excess energy over the best structure of this formula in the dataset: 0.040 eV/atom
- Fermi-level density of states: 2.27 states/eV/f.u.

a = 9.776 Å, b = 9.776 Å, c = 9.776 Å
α = 155.95°, β = 155.95°, γ = 34.28°
Fractional positions:
Tl1 0.084 0.084 0.000
Tl2 0.916 0.916 0.000
Sn1 0.250 0.750 0.500
Sn2 0.750 0.250 0.500
F1 0.500 0.500 0.000

=====

Density functional theory data (GGA-PBE) for a relaxed TlSnF6 crystal.

Calculated values
- Raw formation energy: -2196 meV per atom
- Space group: R-3, No. 148
- Excess energy over the best structure of this formula in the dataset: 0.000 eV/atom
- Fermi-level density of states: 2.45 states/eV/f.u.

a = 6.136 Å, b = 6.136 Å, c = 6.136 Å
α = 54.27°, β = 54.27°, γ = 54.27°
Fractional positions:
Tl1 0.000 0.000 0.000
Sn1 0.500 0.500 0.500
F1 0.143 0.727 0.405
F2 0.273 0.595 0.857
F3 0.405 0.143 0.727
F4 0.595 0.857 0.273
F5 0.727 0.405 0.143
F6 0.857 0.273 0.595

=====

Density functional theory data (GGA-PBE) for a relaxed Tl3SnF crystal.

Calculated values
- Raw formation energy: -514 meV per atom
- Space group: Pm-3m, No. 221
- Excess energy over the best structure of this formula in the dataset: 0.000 eV/atom
- Fermi-level density of states: 2.87 states/eV/f.u.

a = 5.235 Å, b = 5.235 Å, c = 5.235 Å
α = 90.00°, β = 90.00°, γ = 90.00°
Fractional positions:
Tl1 0.000 0.000 0.500
Tl2 0.000 0.500 0.000
Tl3 0.500 0.000 0.000
Sn1 0.500 0.500 0.500
F1 0.000 0.000 0.000

=====

Density functional theory data (GGA-PBE) for a relaxed TmTl2SnF6 crystal.

Calculated values
- Raw formation energy: -2603 meV per atom
- Space group: Pmmn, No. 59
- Fermi-level density of states: 1.51 states/eV/f.u.

a = 5.875 Å, b = 8.697 Å, c = 8.238 Å
α = 90.00°, β = 90.00°, γ = 90.00°
Fractional positions:
Tm1 0.250 0.250 0.163
Tm2 0.750 0.750 0.837
Tl1 0.250 0.048 0.595
Tl2 0.250 0.452 0.595
Tl3 0.750 0.548 0.405
Tl4 0.750 0.952 0.405
Sn1 0.250 0.750 0.220
Sn2 0.750 0.250 0.780
F1 0.010 0.750 0.024
F2 0.012 0.250 0.358
F3 0.250 0.004 0.165
F4 0.250 0.496 0.165
F5 0.488 0.250 0.358
F6 0.490 0.750 0.024
F7 0.510 0.250 0.976
F8 0.512 0.750 0.642
F9 0.750 0.504 0.835
F10 0.750 0.996 0.835
F11 0.988 0.750 0.642
F12 0.990 0.250 0.976